A geometry-optimized Mg2CuOs structure, computed with GGA-PBE.

Cell lengths 4.861, 4.861, 2.754 Å; angles 90.00, 90.00, 108.41 degrees
Positions (direct):
Mg (0.500, 0.500, 0.000)
Mg (0.000, 0.000, 0.000)
Os (0.500, 0.000, 0.500)
Cu (0.000, 0.500, 0.500)

Computed properties:
- Space group: Cmmm (65)
- E: -4.510 eV per atom
- Calculated density: 8.1 Mg/m³
- Formation enthalpy at 0 K: 119 meV/atom

A geometry-optimized Mg2CuOs structure, computed with GGA-PBE.

Cell lengths 4.072, 2.712, 6.221 Å; angles 64.33, 90.00, 90.00 degrees
Positions (direct):
Cu (0.500, 0.750, 0.750)
Mg (0.000, 0.507, 0.495)
Mg (0.000, 0.993, 0.005)
Os (0.500, 0.250, 0.250)

Computed properties:
- Space group: P2/m (10)
- E: -4.475 eV per atom
- Calculated density: 8.1 Mg/m³
- Formation enthalpy at 0 K: 153 meV/atom

A geometry-optimized MgCuOs structure, computed with GGA-PBE.

Cell lengths 6.287, 6.287, 6.287 Å; angles 155.10, 155.10, 35.50 degrees
Positions (direct):
Os (0.660, 0.660, 0.000)
Mg (0.334, 0.334, 0.000)
Cu (0.006, 0.006, 0.000)

Computed properties:
- Space group: I4mm (107)
- E: -5.344 eV per atom
- Calculated density: 10.5 Mg/m³
- Formation enthalpy at 0 K: 296 meV/atom